4
Lattice="3.225 0.000 0.000 0.000 3.225 0.000 0.000 0.000 6.529" Properties=species:S:1:pos:R:3 comment="Tc2PbCl, relaxed, DFT PBE" raw_formation_energy_ev_per_fu=3.7 crystal_system=tetragonal dos_ef_per_ev_atom=1.3000 relative_energy_mev_per_atom=891.7 spacegroup="P4/mmm (123)" e_tot_ev_per_atom=-5.6364 pbc="T T T"
Tc 0.000 0.000 3.062
Tc 0.000 0.000 0.203
Pb 1.612 1.612 4.897
Cl 1.612 1.612 1.632